Run a
Here is a geometry-optimized BaNaAg2 structure from Alexandria. Energies are from GGA-PBE.

a = 7.8951 Å, b = 7.8951 Å, c = 7.8951 Å
α = 90.00°, β = 90.00°, γ = 90.00°
Space group Fm-3m (No. 225)
One atom of each set of equivalent atoms:
1 Ba 0.0000 0.0000 0.0000 x4
2 Na 0.0000 0.0000 0.5000 x4
3 Ag 0.2500 0.2500 0.2500 x8

Properties
magnetization	0.0	μB/f.u.

Run b
Here is a geometry-optimized BaNaAg2 structure from Alexandria. Energies are from GGA-PBE.

a = 3.9906 Å, b = 3.9906 Å, c = 7.3233 Å
α = 90.00°, β = 90.00°, γ = 90.00°
Space group P4/mmm (No. 123)
One atom of each set of equivalent atoms:
1 Ba 0.0000 0.0000 0.0000 x1
2 Na 0.0000 0.0000 0.5000 x1
3 Ag 0.5000 0.5000 0.2988 x2

Properties
magnetization	0.0	μB/f.u.

Name the least stable of them. run b.

Run a
Here is a geometry-optimized BaNaAg2 structure from Alexandria. Energies are from GGA-PBE.

a = 8.7907 Å, b = 4.8704 Å, c = 11.6335 Å
α = 90.00°, β = 90.00°, γ = 90.00°
Space group Pnma (No. 62)
One atom of each set of equivalent atoms:
1 Ba 0.1522 0.2500 0.1440 x4
2 Na 0.0211 0.7500 0.3992 x4
3 Ag 0.1437 0.2500 0.8327 x4
4 Ag 0.2413 0.7500 0.9343 x4

Properties
magnetization	0.0	μB/f.u.

Run b
Here is a geometry-optimized BaNaAg2 structure from Alexandria. Energies are from GGA-PBE.

a = 5.5149 Å, b = 5.5149 Å, c = 4.0171 Å
α = 90.00°, β = 90.00°, γ = 90.00°
Space group P4/mmm (No. 123)
One atom of each set of equivalent atoms:
1 Ba 0.0000 0.0000 0.0000 x1
2 Na 0.5000 0.5000 0.0000 x1
3 Ag 0.0000 0.5000 0.5000 x2

Properties
magnetization	0.0	μB/f.u.

Run c
Here is a geometry-optimized BaNaAg2 structure from Alexandria. Energies are from GGA-PBE.

a = 5.4110 Å, b = 5.4110 Å, c = 19.6007 Å
α = 90.00°, β = 90.00°, γ = 90.00°
Space group I4_1/amd (No. 141, origin choice 2)
One atom of each set of equivalent atoms:
1 Ba 0.0000 0.2500 0.3750 x4
2 Na 0.0000 0.2500 0.8750 x4
3 Ag 0.0000 0.0000 0.0000 x8

Properties
magnetization	0.0	μB/f.u.

Name the least stable of them. run c.